[1]
Computed, not measured: LiGdNi after structural relaxation at the GGA-PBE level of DFT.

Output
Formation energy, eV/f.u.: -0.20
Calculated volume, Å³/atom: 18.8
Uncorrected energy, eV per atom: -7.326

Lattice parameters (Å, degrees): 5.3250 5.3250 5.3250 142.19 142.19 54.54
With the nearest neighbours (Å) after each atom.
Atoms (fractional coordinates):
Li 0.0000 0.0000 0.0000  1 Gd 2.75, 4 Ni 2.76
Gd 0.2910 0.2910 0.0000  1 Li 2.75, 4 Ni 2.84
Ni 0.6368 0.6368 0.0000  4 Li 2.76, 4 Gd 2.84

[2]
Computed, not measured: Ca2TlIrF after structural relaxation at the GGA-PBE level of DFT.

Output
Calculated volume, Å³/atom: 21.1
Uncorrected energy, eV per atom: -4.129
Uncorrected formation energy, eV per formula unit: -3.543

Lattice parameters (Å, degrees): 4.6449 4.6449 4.8960 90.00 90.00 90.00
With the nearest neighbours (Å) after each atom.
Atoms (fractional coordinates):
Ca 0.0000 0.5000 0.0000  2 F 2.32
Ca 0.5000 0.0000 0.0000  2 F 2.32
Tl 0.0000 0.0000 0.5000  4 Ir 3.28, 8 Ca 3.37
Ir 0.5000 0.5000 0.5000  2 F 2.45
F 0.5000 0.5000 0.0000  4 Ca 2.32, 2 Ir 2.45

[3]
Computed, not measured: Re2AsAuF after structural relaxation at the GGA-PBE level of DFT.

Output
Calculated volume, Å³/atom: 21.8
Uncorrected energy, eV per atom: -5.407
Uncorrected formation energy, eV per formula unit: 7.661

Lattice parameters (Å, degrees): 4.7125 4.7125 4.9083 90.00 90.00 90.00
With the nearest neighbours (Å) after each atom.
Atoms (fractional coordinates):
Re 0.0000 0.5000 0.0000  2 As 2.36
Re 0.5000 0.0000 0.0000  2 As 2.36
As 0.0000 0.0000 0.0000  4 Re 2.36, 2 Au 2.45
Au 0.0000 0.0000 0.5000  2 As 2.45
F 0.5000 0.5000 0.5000  4 Au 3.33, 8 Re 3.40

[4]
Computed, not measured: Rb4Pr3ScS8 after structural relaxation at the GGA-PBE level of DFT.

Output
Calculated volume, Å³/atom: 29.0
Uncorrected energy, eV per atom: -5.366
Uncorrected formation energy, eV per formula unit: -28.290

Lattice parameters (Å, degrees): 9.0853 9.0853 9.0853 54.58 54.58 54.58
With the nearest neighbours (Å) after each atom.
Atoms (fractional coordinates):
Rb 0.0000 0.0000 0.0000  6 S 3.48
Rb 0.0000 0.5000 0.5000  6 S 3.33
Rb 0.5000 0.0000 0.5000  6 S 3.33
Rb 0.5000 0.5000 0.0000  6 S 3.33
Pr 0.0000 0.0000 0.5000  6 S 2.86-2.89
Pr 0.0000 0.5000 0.0000  6 S 2.86-2.89
Pr 0.5000 0.0000 0.0000  6 S 2.86-2.89
Sc 0.5000 0.5000 0.5000  6 S 2.70
S 0.2339 0.2339 0.2339  3 Pr 2.86
S 0.2501 0.7209 0.7209  1 Sc 2.70, 2 Pr 2.89
S 0.2791 0.2791 0.7499  1 Sc 2.70, 2 Pr 2.89
S 0.2791 0.7499 0.2791  1 Sc 2.70, 2 Pr 2.89
S 0.7209 0.2501 0.7209  1 Sc 2.70, 2 Pr 2.89
S 0.7209 0.7209 0.2501  1 Sc 2.70, 2 Pr 2.89
S 0.7499 0.2791 0.2791  1 Sc 2.70, 2 Pr 2.89
S 0.7661 0.7661 0.7661  3 Pr 2.86

[5]
Computed, not measured: SrSc2Cd after structural relaxation at the GGA-PBE level of DFT.

Output
Formation energy, eV/f.u.: 0.68
Calculated volume, Å³/atom: 29.1
Uncorrected energy, eV per atom: -3.645

Lattice parameters (Å, degrees): 11.0224 11.0224 11.0224 18.37 18.37 18.37
With the nearest neighbours (Å) after each atom.
Atoms (fractional coordinates):
Sr 0.0000 0.0000 0.0000  6 Sr 3.52, 6 Sc 3.73
Sc 0.2372 0.2372 0.2372  3 Cd 3.06
Sc 0.7628 0.7628 0.7628  3 Cd 3.06
Cd 0.5000 0.5000 0.5000  6 Sc 3.06

[6]
Computed, not measured: BaFe2Pb after structural relaxation at the GGA-PBE level of DFT.

Output
Formation energy, eV/f.u.: 2.22
Calculated volume, Å³/atom: 24.2
Uncorrected energy, eV per atom: -5.085

Lattice parameters (Å, degrees): 6.1911 6.1911 6.1911 148.85 127.25 62.54
With the nearest neighbours (Å) after each atom.
Atoms (fractional coordinates):
Ba 0.0000 0.0000 0.0000  8 Fe 3.24-3.62, 2 Ba 3.32, 4 Pb 3.49-3.56
Fe 0.3037 0.8037 0.5000  2 Fe 2.37
Fe 0.4634 0.4634 0.0000  2 Fe 2.37
Pb 0.7027 0.2027 0.5000  6 Fe 3.03-3.39, 2 Pb 3.32